w | Cd2GaBr | GGA-PBE | relaxed

Its total moment is 0.000 μB per atom.

The structure belongs to space group Fm-3m (No. 225); the cell edges are 7.583, 7.583 and 7.583 Å and the angles 90.00°, 90.00° and 90.00°. The inequivalent atoms are Cd at (0.250, 0.250, 0.250), Ga at (0.000, 0.000, 0.000) and Br at (0.000, 0.000, 0.500).

x | Cd2GaBr | GGA-PBE | relaxed

Its total moment is 0.000 μB per atom.

The structure belongs to space group I-42d (No. 122); the cell edges are 6.992, 6.992 and 11.084 Å and the angles 90.00°, 90.00° and 90.00°. The inequivalent atoms are Cd at (0.219, 0.250, 0.125), Ga at (0.000, 0.000, 0.000) and Br at (0.000, 0.000, 0.500).

Most stable structure: x

w | Gd2CdBr | GGA-PBE | relaxed

Its total moment is 3.849 μB per atom.

The structure belongs to space group P4/mmm (No. 123); the cell edges are 3.540, 3.540 and 8.488 Å and the angles 90.00°, 90.00° and 90.00°. The inequivalent atoms are Gd at (0.000, 0.000, 0.241), Cd at (0.500, 0.500, 0.000) and Br at (0.500, 0.500, 0.500).

x | Gd2CdBr | GGA-PBE | relaxed

Its total moment is 3.766 μB per atom.

The structure belongs to space group R-3m (No. 166, hexagonal axes); the cell edges are 3.5391, 3.5391 and 33.4132 Å and the angles 90.00°, 90.00° and 120.00°. The inequivalent atoms are Gd at (0.0000, 0.0000, 0.0962), Cd at (0.0000, 0.0000, 0.0000) and Br at (0.0000, 0.0000, 0.5000).

Most stable structure: w

w | CdGe2Br6 | GGA-PBE | relaxed

Its total moment is 0.000 μB per atom.

The structure belongs to space group C2/m (No. 12); the cell edges are 15.061, 4.060 and 10.462 Å and the angles 90.00°, 110.18° and 90.00°. The inequivalent atoms are Cd at (0.000, 0.000, 0.000), Ge at (0.167, 0.500, 0.335), Br at (0.027, 0.000, 0.282), Br at (0.138, 0.500, 0.050) and Br at (0.192, 0.500, 0.616).

x | CdGe2Br6 | GGA-PBE | relaxed

Its total moment is 0.000 μB per atom.

The structure belongs to space group C2/c (No. 15); the cell edges are 26.520, 8.440 and 7.075 Å and the angles 90.00°, 101.00° and 90.00°. The inequivalent atoms are Cd at (0.000, 0.000, 0.250), Ge at (0.248, 0.378, 0.231), Br at (0.053, 0.168, 0.538), Br at (0.187, 0.155, 0.057) and Br at (0.191, 0.399, 0.525).

Most stable structure: w

w | CdGeBr4 | GGA-PBE | relaxed

Its total moment is 0.000 μB per atom.

The structure belongs to space group C2/m (No. 12); the cell edges are 15.338, 4.063 and 7.071 Å and the angles 90.00°, 117.08° and 90.00°. The inequivalent atoms are Cd at (0.000, 0.000, 0.000), Ge at (0.000, 0.500, 0.500), Br at (0.116, 0.500, 0.278) and Br at (0.117, 0.000, 0.784).

x | CdGeBr4 | GGA-PBE | relaxed

Its total moment is 0.000 μB per atom.

The structure belongs to space group C2/c (No. 15); the cell edges are 8.031, 17.208 and 6.990 Å and the angles 90.00°, 124.83° and 90.00°. The inequivalent atoms are Cd at (0.000, 0.074, 0.250), Ge at (0.000, 0.421, 0.750), Br at (0.235, 0.053, 0.752) and Br at (0.237, 0.321, 0.734).

Most stable structure: w

w | KCdInGeBr | GGA-PBE | relaxed

Its total moment is 0.000 μB per atom.

The structure belongs to space group R3m (No. 160, hexagonal axes); the cell edges are 4.7308, 4.7308 and 27.4752 Å and the angles 90.00°, 90.00° and 120.00°. The inequivalent atoms are K at (0.0000, 0.0000, 0.0000), Cd at (0.0000, 0.0000, 0.2319), In at (0.0000, 0.0000, 0.4964), Ge at (0.0000, 0.0000, 0.8688) and Br at (0.0000, 0.0000, 0.3898).

x | KCdInGeBr | GGA-PBE | relaxed

Its total moment is 0.000 μB per atom.

The structure belongs to space group P1 (No. 1); the cell edges are 4.759, 4.779 and 9.022 Å and the angles 75.10°, 75.13° and 61.69°. The inequivalent atoms are K at (0.000, 0.000, 0.000), Cd at (0.831, 0.825, 0.499), In at (0.559, 0.560, 0.310), Ge at (0.209, 0.203, 0.356) and Br at (0.721, 0.718, 0.822).

y | KCdInGeBr | GGA-PBE | relaxed

Its total moment is 0.000 μB per atom.

The structure belongs to space group Cm (No. 8); the cell edges are 14.670, 4.089 and 5.800 Å and the angles 90.00°, 102.13° and 90.00°. The inequivalent atoms are K at (0.000, 0.000, 0.000), Cd at (0.248, 0.500, 0.216), In at (0.205, 0.500, 0.662), Ge at (0.290, 0.000, 0.944) and Br at (0.011, 0.500, 0.526).

Most stable structure: x

w | KCdInGeBr | GGA-PBE | relaxed

Its total moment is 0.000 μB per atom.

The structure belongs to space group Cm (No. 8); the cell edges are 8.212, 4.744 and 9.268 Å and the angles 90.00°, 107.15° and 90.00°. The inequivalent atoms are K at (0.000, 0.000, 0.000), Cd at (0.069, 0.500, 0.712), In at (0.334, 0.500, 0.506), Ge at (0.212, 0.000, 0.640) and Br at (0.226, 0.500, 0.179).

x | KCdInGeBr | GGA-PBE | relaxed

Its total moment is 0.000 μB per atom.

The structure belongs to space group P1 (No. 1); the cell edges are 4.720, 4.796 and 8.218 Å and the angles 88.55°, 73.48° and 89.98°. The inequivalent atoms are K at (0.000, 0.000, 0.000), Cd at (0.233, 0.212, 0.526), In at (0.687, 0.533, 0.620), Ge at (0.777, 0.010, 0.438) and Br at (0.507, 0.503, 0.985).

Most stable structure: w